VASP calculation (PBE) on RbNaNiI4 after structural relaxation.

Unit cell a=7.192 b=8.133 c=10.181 alpha=90.00 beta=108.33 gamma=90.00
Sites, in units of the cell vectors:
Rb: 0.228 0.250 0.057
Rb: 0.772 0.750 0.943
Na: 0.207 0.250 0.542
Na: 0.793 0.750 0.458
Ni: 0.233 0.750 0.319
Ni: 0.767 0.250 0.681
I: 0.010 0.006 0.720
I: 0.010 0.494 0.720
I: 0.361 0.750 0.112
I: 0.427 0.750 0.575
I: 0.573 0.250 0.425
I: 0.639 0.250 0.888
I: 0.990 0.506 0.280
I: 0.990 0.994 0.280

Results
- SG = No. 11
- volume (Å³ per cell) = 565
- ΔE_f (raw) (eV/atom) = -0.77

=====

VASP calculation (PBE) on NaNiSb2I after structural relaxation.

Unit cell a=5.401 b=5.401 c=5.563 alpha=90.00 beta=90.00 gamma=90.00
Sites, in units of the cell vectors:
Na: 0.000 0.000 0.000
Ni: 0.500 0.500 0.500
Sb: 0.000 0.500 0.000
Sb: 0.500 0.000 0.000
I: 0.000 0.000 0.500

Results
- SG = No. 123
- volume (Å³ per cell) = 162
- ΔE_f (raw) (eV/atom) = 1.16

=====

VASP calculation (PBE) on NaNiSbI2 after structural relaxation.

Unit cell a=5.736 b=5.736 c=4.786 alpha=90.00 beta=90.00 gamma=90.00
Sites, in units of the cell vectors:
Na: 0.000 0.000 0.000
Ni: 0.500 0.500 0.500
Sb: 0.500 0.500 0.000
I: 0.000 0.500 0.500
I: 0.500 0.000 0.500

Results
- SG = No. 123
- volume (Å³ per cell) = 157
- ΔE_f (raw) (eV/atom) = -0.13

=====

VASP calculation (PBE) on NaNiSb2I after structural relaxation.

Unit cell a=4.734 b=4.734 c=9.465 alpha=90.00 beta=90.00 gamma=90.00
Sites, in units of the cell vectors:
Na: 0.000 0.000 0.000
Ni: 0.500 0.500 0.500
Sb: 0.000 0.500 0.500
Sb: 0.500 0.000 0.500
I: 0.500 0.500 0.000

Results
- SG = No. 123
- volume (Å³ per cell) = 212
- ΔE_f (raw) (eV/atom) = -0.08

=====

VASP calculation (PBE) on NaSc2NiI after structural relaxation.

Unit cell a=5.404 b=5.404 c=4.708 alpha=90.00 beta=90.00 gamma=90.00
Sites, in units of the cell vectors:
Na: 0.000 0.000 0.000
Sc: 0.000 0.500 0.500
Sc: 0.500 0.000 0.500
Ni: 0.500 0.500 0.000
I: 0.500 0.500 0.500

Results
- SG = No. 123
- volume (Å³ per cell) = 137
- ΔE_f (raw) (eV/atom) = 0.51

=====

VASP calculation (PBE) on Na2NiSnI after structural relaxation.

Unit cell a=5.567 b=5.567 c=4.799 alpha=90.00 beta=90.00 gamma=90.00
Sites, in units of the cell vectors:
Na: 0.000 0.500 0.000
Na: 0.500 0.000 0.000
Ni: 0.000 0.000 0.000
Sn: 0.000 0.000 0.500
I: 0.500 0.500 0.500

Results
- SG = No. 123
- volume (Å³ per cell) = 149
- ΔE_f (raw) (eV/atom) = -0.16

=====

VASP calculation (PBE) on NaTaNi2I after structural relaxation.

Unit cell a=4.707 b=4.707 c=5.535 alpha=90.00 beta=90.00 gamma=90.00
Sites, in units of the cell vectors:
Na: 0.000 0.000 0.000
Ta: 0.500 0.500 0.500
Ni: 0.000 0.500 0.500
Ni: 0.500 0.000 0.500
I: 0.500 0.500 0.000

Results
- SG = No. 123
- volume (Å³ per cell) = 123
- ΔE_f (raw) (eV/atom) = 0.70

=====

VASP calculation (PBE) on NaNiTe2I after structural relaxation.

Unit cell a=5.503 b=5.503 c=5.799 alpha=90.00 beta=90.00 gamma=90.00
Sites, in units of the cell vectors:
Na: 0.000 0.000 0.000
Ni: 0.500 0.500 0.500
Te: 0.000 0.500 0.000
Te: 0.500 0.000 0.000
I: 0.000 0.000 0.500

Results
- SG = No. 123
- volume (Å³ per cell) = 176
- ΔE_f (raw) (eV/atom) = 0.94

=====

Calculated total magnetic moment (μB per cell), listed in the same order as above: 4.0 0.0 0.3 0.0 0.5 0.0 0.0 1.8